Run P
PBE HfFeS2N, optimized geometry; DOS at the Fermi energy = 0.52 states/eV per atom; volume = 14.4 Å³ per atom
1.0
-0.568 -1.387 4.339
-2.097 -3.803 -1.490
3.010 -1.612 -0.122
S N Hf Fe
2 1 1 1
Direct
0.500 0.000 0.000
0.000 0.500 0.000
0.000 0.000 0.500
0.500 0.500 0.500
0.000 0.000 0.000

Run Q
PBE HfFeS2N, optimized geometry; DOS at the Fermi energy = 1.11 states/eV per atom; volume = 20.1 Å³ per atom
1.0
-1.810 -3.016 -3.531
-1.567 -3.171 3.511
-3.549 1.937 0.165
Fe Hf N S
1 1 1 2
Direct
0.500 0.500 0.500
0.000 0.000 0.000
0.000 0.000 0.500
0.500 0.000 0.000
0.000 0.500 0.000

The data favor run P; the next most stable structure lies 33.4 kJ/mol of atoms above it.

Run P
PBE Hf2FeSiN, optimized geometry; DOS at the Fermi energy = 0.56 states/eV per atom; volume = 13.8 Å³ per atom
1.0
-1.059 -2.897 1.682
2.743 0.263 2.180
-6.130 6.278 6.953
Si Hf N Fe
2 4 2 2
Direct
0.500 0.000 0.643
0.000 0.500 0.357
0.000 0.500 0.715
0.500 0.000 0.901
0.000 0.500 0.099
0.500 0.000 0.285
0.000 0.500 0.908
0.500 0.000 0.092
0.500 0.500 0.500
0.000 0.000 0.500

Run Q
PBE Hf2FeSiN, optimized geometry; DOS at the Fermi energy = 0.49 states/eV per atom; volume = 14.4 Å³ per atom
1.0
-1.087 1.282 -4.099
-3.214 -1.722 0.313
-1.819 3.693 1.638
Fe N Si Hf
1 1 1 2
Direct
0.500 0.500 0.500
0.000 0.000 0.000
0.000 0.500 0.000
0.000 0.000 0.500
0.500 0.000 0.000

The data favor run P; the next most stable structure lies 49.3 kJ/mol of atoms above it.

Run P
PBE HfFeTeN2, optimized geometry; DOS at the Fermi energy = 0.65 states/eV per atom; volume = 15.0 Å³ per atom
1.0
-1.398 2.583 -2.567
-2.600 -2.634 -1.233
-3.219 1.602 3.365
Te N Fe Hf
1 2 1 1
Direct
0.000 0.000 0.500
0.000 0.500 0.000
0.500 0.000 0.000
0.000 0.000 0.000
0.500 0.500 0.500

Run Q
PBE HfFeTeN2, optimized geometry; DOS at the Fermi energy = 1.41 states/eV per atom; volume = 20.1 Å³ per atom
1.0
4.089 0.000 0.000
0.000 4.089 0.000
0.000 0.000 6.006
N Te Hf Fe
2 1 1 1
Direct
0.500 0.000 0.000
0.000 0.500 0.000
0.000 0.000 0.500
0.000 0.000 0.000
0.500 0.500 0.500

The data favor run Q; the next most stable structure lies 23.2 kJ/mol of atoms above it.

Run P
PBE NaHf2Fe, optimized geometry; DOS at the Fermi energy = 1.11 states/eV per atom; volume = 33.0 Å³ per atom
1.0
-1.786 5.947 1.534
-2.065 0.923 -5.983
-7.767 1.248 -0.546
Hf Na Fe
4 2 2
Direct
0.875 0.625 0.250
0.375 0.125 0.750
0.875 0.125 0.750
0.875 0.125 0.250
0.250 0.750 0.500
0.500 0.500 0.000
0.000 0.000 0.000
0.750 0.250 0.500

Run Q
PBE NaHf2Fe, optimized geometry; DOS at the Fermi energy = 0.52 states/eV per atom; volume = 17.8 Å³ per atom
1.0
0.000 3.292 3.292
3.292 0.000 3.292
3.292 3.292 0.000
Na Fe Hf
1 1 2
Direct
0.000 0.000 0.000
0.500 0.500 0.500
0.250 0.250 0.250
0.750 0.750 0.750

The data favor run Q; the next most stable structure lies 76.4 kJ/mol of atoms above it.

Run P
PBE NaHfFe2Sb, optimized geometry; DOS at the Fermi energy = 1.31 states/eV per atom; volume = 23.3 Å³ per atom
1.0
-2.084 1.843 3.687
-4.578 -2.701 -1.237
1.407 -3.565 2.577
Hf Fe Sb Na
1 2 1 1
Direct
0.000 0.000 0.000
0.500 0.000 0.000
0.000 0.000 0.500
0.500 0.500 0.500
0.000 0.500 0.000

Run Q
PBE NaHfFe2Sb, optimized geometry; DOS at the Fermi energy = 1.78 states/eV per atom; volume = 18.7 Å³ per atom
1.0
4.384 0.000 0.000
0.000 4.860 0.000
0.000 0.000 4.384
Fe Sb Hf Na
2 1 1 1
Direct
0.500 0.000 0.000
0.000 0.000 0.500
0.000 0.500 0.000
0.500 0.500 0.500
0.000 0.000 0.000

The data favor run P; the next most stable structure lies 38.7 kJ/mol of atoms above it.

Run P
PBE NaHf2TlFe, optimized geometry; DOS at the Fermi energy = 1.31 states/eV per atom; volume = 27.8 Å³ per atom
1.0
5.377 0.000 0.000
0.000 5.377 0.000
0.000 0.000 4.804
Hf Fe Na Tl
2 1 1 1
Direct
0.500 0.000 0.000
0.000 0.500 0.000
0.000 0.000 0.500
0.500 0.500 0.500
0.000 0.000 0.000

Run Q
PBE NaHf2TlFe, optimized geometry; DOS at the Fermi energy = 1.21 states/eV per atom; volume = 23.4 Å³ per atom
1.0
4.937 0.000 0.000
0.000 4.801 0.000
0.000 0.000 4.937
Fe Hf Tl Na
1 2 1 1
Direct
0.500 0.500 0.500
0.000 0.000 0.500
0.500 0.000 0.000
0.000 0.500 0.000
0.000 0.000 0.000

The data favor run P; the next most stable structure lies 38.9 kJ/mol of atoms above it.